A plane-wave DFT calculation with PBE was carried out for a relaxed structure of K2Hg2S.

Cell and atoms, written as POSCAR:
```
K2Hg2S
1.0
8.172 0.000 0.000
0.000 8.172 0.000
0.000 0.000 4.912
K Hg S
4 4 2
direct
0.182 0.318 0.000
0.318 0.818 0.000
0.682 0.182 0.000
0.818 0.682 0.000
0.131 0.631 0.500
0.369 0.131 0.500
0.631 0.869 0.500
0.869 0.369 0.500
0.000 0.000 0.500
0.500 0.500 0.500
```

Computed properties:
M_tot: 0.00 μB/f.u.
Polymorph energy (0 for the lowest one): 0.366 eV/f.u.
E_form (uncorrected): -0.335 eV/atom

A plane-wave DFT calculation with PBE was carried out for a relaxed structure of KHgS2.

Cell and atoms, written as POSCAR:
```
KHgS2
1.0
2.607 1.505 7.079
-2.607 1.505 7.079
0.000 -3.010 7.079
K Hg S
1 1 2
direct
0.000 0.000 0.000
0.500 0.500 0.500
0.391 0.391 0.391
0.609 0.609 0.609
```

Computed properties:
M_tot: 1.00 μB/f.u.
E_form (uncorrected): -0.288 eV/atom

A plane-wave DFT calculation with PBE was carried out for a relaxed structure of K2Hg2SeS2.

Cell and atoms, written as POSCAR:
```
K2Hg2SeS2
1.0
7.028 -2.120 0.000
7.028 2.120 0.000
-4.569 0.000 7.195
K Hg Se S
2 2 1 2
direct
0.041 0.041 0.255
0.959 0.959 0.745
0.292 0.292 0.201
0.708 0.708 0.799
0.500 0.500 0.500
0.332 0.332 0.898
0.668 0.668 0.102
```

Computed properties:
M_tot: 0.00 μB/f.u.
E_form (uncorrected): -0.588 eV/atom

A plane-wave DFT calculation with PBE was carried out for a relaxed structure of K2Hg2Se2S.

Cell and atoms, written as POSCAR:
```
K2Hg2Se2S
1.0
7.208 -2.191 0.000
7.208 2.191 0.000
-4.548 0.000 6.951
K Hg Se S
2 2 2 1
direct
0.048 0.048 0.287
0.952 0.952 0.713
0.301 0.301 0.210
0.699 0.699 0.790
0.328 0.328 0.879
0.672 0.672 0.121
0.500 0.500 0.500
```

Computed properties:
M_tot: 0.00 μB/f.u.
E_form (uncorrected): -0.640 eV/atom